# 1
A PBEsol-optimized structure of BeHg2Te, computed with SCAN.

Lattice parameters (Å, degrees): 3.7139 6.4619 8.1039 90.00 90.00 90.00
With the nearest neighbours (Å) after each atom.
Space group Imm2 (No. 44)
One atom of each set of equivalent atoms:
Be 0.0000 0.0000 0.0000 x2  2 Te 2.38, 2 Hg 2.57
Hg 0.0000 0.0000 0.5004 x2  2 Hg 2.93, 2 Te 3.16
Hg 0.0000 0.5000 0.2806 x2  2 Be 2.57
Te 0.0000 0.5000 0.6844 x2  2 Be 2.38

Formation energy without anion corrections   0.202 eV per atom
Offset from the most stable computed form   0.000 eV per atom

=====

# 2
A PBEsol-optimized structure of Zn2RePb, computed with SCAN.

Lattice parameters (Å, degrees): 3.4284 3.4284 5.7002 90.00 90.00 90.00
With the nearest neighbours (Å) after each atom.
Space group P4mm (No. 99)
One atom of each set of equivalent atoms:
Zn 0.0000 0.0000 0.0000 x1  4 Re 2.74, 4 Zn 2.74, 2 Pb 2.79-2.91
Zn 0.5000 0.5000 0.2252 x1  1 Re 2.55, 4 Zn 2.74
Re 0.5000 0.5000 0.7773 x1  5 Zn 2.55-2.74
Pb 0.0000 0.0000 0.5106 x1  6 Zn 2.79-2.92, 4 Re 2.86

ΔE_f   0.56 eV per atom

=====

# 3
A PBEsol-optimized structure of La2Ti3CuO10, computed with SCAN.

Lattice parameters (Å, degrees): 3.8222 3.8222 25.6245 90.00 90.00 90.00
With the nearest neighbours (Å) after each atom.
Space group I-4m2 (No. 119)
One atom of each set of equivalent atoms:
La 0.0000 0.0000 0.0832 x4  8 O 2.48-2.71
Ti 0.0000 0.0000 0.3369 x4  5 O 1.81-1.97
Ti 0.0000 0.0000 0.5000 x2  6 O 1.91-1.93
Cu 0.0000 0.5000 0.7500 x2  4 O 1.96
O 0.0000 0.0000 0.2664 x4  1 Ti 1.81, 2 Cu 1.96
O 0.0000 0.0000 0.4248 x4  1 Ti 1.93
O 0.0000 0.5000 0.1450 x4  2 Ti 1.97
O 0.0000 0.5000 0.5009 x4  2 Ti 1.91
O 0.0000 0.5000 0.6477 x4  2 Ti 1.95

Formation energy without anion corrections   -3.189 eV per atom

=====

# 4
A PBEsol-optimized structure of CaHf3Co, computed with SCAN.

Lattice parameters (Å, degrees): 4.8519 4.8519 4.8519 90.00 90.00 90.00
With the nearest neighbours (Å) after each atom.
Space group Pm-3m (No. 221)
One atom of each set of equivalent atoms:
Ca 0.0000 0.0000 0.0000 x1  12 Hf 3.43
Hf 0.0000 0.5000 0.5000 x3  2 Co 2.43
Co 0.5000 0.5000 0.5000 x1  6 Hf 2.43

ΔE_f   0.26 eV per atom

=====

# 5
A PBEsol-optimized structure of MnW2Au, computed with SCAN.

Lattice parameters (Å, degrees): 5.3928 7.9467 2.7429 90.00 90.00 90.00
With the nearest neighbours (Å) after each atom.
Space group Cmmm (No. 65)
One atom of each set of equivalent atoms:
Mn 0.0000 0.0000 0.0000 x2  2 Au 2.70, 2 Mn 2.74, 8 W 2.77
W 0.2500 0.2500 0.5000 x4  4 W 2.70-2.74, 4 Mn 2.77, 4 Au 2.77
Au 0.0000 0.5000 0.0000 x2  2 Mn 2.70, 2 Au 2.74, 8 W 2.77

Offset from the most stable computed form   0.038 eV per atom
ΔE_f   0.29 eV per atom

=====

# 6
A PBEsol-optimized structure of YCdAg, computed with SCAN.

Lattice parameters (Å, degrees): 4.8053 4.8053 3.2669 90.00 90.00 120.00
With the nearest neighbours (Å) after each atom.
Space group P-6m2 (No. 187)
One atom of each set of equivalent atoms:
Y 0.0000 0.0000 0.0000 x1  6 Cd 3.22, 6 Ag 3.22, 2 Y 3.27
Cd 0.3333 0.6667 0.5000 x1  3 Ag 2.77
Ag 0.6667 0.3333 0.5000 x1  3 Cd 2.77

ΔE_f   -0.38 eV per atom

=====

# 7
A PBEsol-optimized structure of MgSiSb2, computed with SCAN.

Lattice parameters (Å, degrees): 3.6775 4.6351 10.5432 90.00 90.00 90.00
With the nearest neighbours (Å) after each atom.
Space group Imm2 (No. 44)
One atom of each set of equivalent atoms:
Mg 0.0000 0.0000 0.0000 x2  2 Si 3.03, 6 Sb 3.05-3.12
Si 0.0000 0.5000 0.7281 x2  6 Sb 2.81-2.98, 2 Mg 3.03
Sb 0.0000 0.0000 0.4296 x2  2 Si 2.81, 4 Mg 3.05
Sb 0.0000 0.5000 0.1982 x2  4 Si 2.98, 2 Mg 3.12

Formation energy without anion corrections   0.233 eV per atom

=====

# 8
A PBEsol-optimized structure of Rb3RhAu, computed with SCAN.

Lattice parameters (Å, degrees): 6.2328 6.2328 6.2328 90.00 90.00 90.00
With the nearest neighbours (Å) after each atom.
Space group Pm-3m (No. 221)
One atom of each set of equivalent atoms:
Rb 0.0000 0.0000 0.5000 x3  2 Au 3.12
Rh 0.5000 0.5000 0.5000 x1  12 Rb 4.41
Au 0.0000 0.0000 0.0000 x1  6 Rb 3.12

ΔE_f   0.53 eV per atom

=====

# 9
A PBEsol-optimized structure of TaSiIr, computed with SCAN.

Lattice parameters (Å, degrees): 6.3660 3.7771 7.2568 90.00 90.00 90.00
With the nearest neighbours (Å) after each atom.
Space group Pnma (No. 62)
One atom of each set of equivalent atoms:
Ta 0.0244 0.2500 0.1724 x4  5 Si 2.65-2.74, 6 Ir 2.90-2.96
Si 0.2328 0.7500 0.3756 x4  4 Ir 2.39-2.45, 3 Ta 2.65-2.67
Ir 0.1452 0.2500 0.5644 x4  4 Si 2.39-2.45

Formation energy without anion corrections   -0.908 eV per atom

=====

# 10
A PBEsol-optimized structure of V3Pb4O12, computed with SCAN.

Lattice parameters (Å, degrees): 10.7363 10.7363 10.7363 90.00 90.00 90.00
With the nearest neighbours (Å) after each atom.
Space group I-43d (No. 220)
One atom of each set of equivalent atoms:
V 0.0000 0.2500 0.3750 x12  4 O 1.72
Pb 0.0786 0.0786 0.0786 x16  3 O 2.31
O 0.0370 0.1213 0.6946 x48  1 V 1.72

Formation energy without anion corrections   -1.996 eV per atom

=====

# 11
A PBEsol-optimized structure of Sc3Be, computed with SCAN.

Lattice parameters (Å, degrees): 3.1611 3.1611 7.8781 90.00 90.00 90.00
With the nearest neighbours (Å) after each atom.
Space group P4/mmm (No. 123)
One atom of each set of equivalent atoms:
Sc 0.0000 0.0000 0.0000 x1  12 Sc 3.16-3.28
Sc 0.5000 0.5000 0.3049 x2  4 Be 2.71
Be 0.0000 0.0000 0.5000 x1  8 Sc 2.71

Offset from the most stable computed form   0.000 eV per atom
ΔE_f   0.01 eV per atom

=====

# 12
A PBEsol-optimized structure of CsCa2Zn2, computed with SCAN.

Lattice parameters (Å, degrees): 5.6661 5.6661 11.9305 90.00 90.00 90.00
With the nearest neighbours (Å) after each atom.
Space group I4/mmm (No. 139)
One atom of each set of equivalent atoms:
Cs 0.0000 0.0000 0.0000 x2  10 Ca 4.00-4.46, 8 Zn 4.11
Ca 0.0000 0.0000 0.3350 x4  4 Zn 3.01
Zn 0.0000 0.5000 0.2500 x4  4 Ca 3.01

ΔE_f   0.17 eV per atom

=====

Number 1: magnetic moment 0.000 μB per atom. Number 2: magnetic moment 0.000 μB per atom. Number 3: magnetic moment 0.063 μB per atom. Number 4: magnetic moment 0.000 μB per atom. Number 5: magnetic moment 0.538 μB per atom. Number 6: magnetic moment 0.000 μB per atom. Number 7: magnetic moment 0.000 μB per atom. Number 8: magnetic moment 0.243 μB per atom. Number 9: magnetic moment 0.000 μB per atom. Number 10: magnetic moment 0.000 μB per atom. Number 11: magnetic moment 0.071 μB per atom. Number 12: magnetic moment 0.002 μB per atom.